No. 1
MnCoTe2I (PBE, relaxed); crystal system = tetragonal; space group = P4/mmm, No. 123; formation energy without anion corrections = 92 kJ/mol of atoms; final energy = -3.87 eV per atom; ΔE to the lowest computed polymorph = 36.87 kJ/mol of atoms
1.0
4.8902 0.0000 0.0000
0.0000 4.8902 0.0000
0.0000 0.0000 5.7342
Mn Co Te I
1 1 2 1
direct
0.0000 0.0000 0.0000
0.5000 0.5000 0.5000
0.0000 0.5000 0.0000
0.5000 0.0000 0.0000
0.0000 0.0000 0.5000

=====

No. 2
Ba3Ga4 (PBE, relaxed); crystal system = orthorhombic; space group = Immm, No. 71; final energy = -2.96 eV per atom
1.0
4.4865 0.0000 0.0000
0.0000 5.1461 0.0000
0.0000 0.0000 20.2079
Ba Ga
6 8
direct
0.0000 0.0000 0.0000
0.0000 0.5000 0.3168
0.0000 0.5000 0.6832
0.5000 0.0000 0.1832
0.5000 0.0000 0.8168
0.5000 0.5000 0.5000
0.0000 0.0000 0.4352
0.0000 0.0000 0.5648
0.0000 0.5000 0.1301
0.0000 0.5000 0.8699
0.5000 0.0000 0.3699
0.5000 0.0000 0.6301
0.5000 0.5000 0.0648
0.5000 0.5000 0.9352

=====

No. 3
Dy3Ho4Th2 (PBE, relaxed); crystal system = monoclinic; space group = C2/m, No. 12; final energy = -5.22 eV per atom; ΔE to the lowest computed polymorph = 0.00 kJ/mol of atoms
1.0
9.2807 -1.7891 0.0000
9.2807 1.7891 0.0000
-4.1124 0.0000 8.5324
Dy Ho Th
3 4 2
direct
0.0000 0.0000 0.0000
0.1492 0.1492 0.6707
0.8508 0.8508 0.3293
0.1850 0.1850 0.3310
0.4817 0.4817 0.6669
0.5183 0.5183 0.3331
0.8150 0.8150 0.6690
0.3323 0.3323 0.9995
0.6677 0.6677 0.0005

=====

No. 4
RbNa5Cd2 (PBE, relaxed); crystal system = orthorhombic; space group = Immm, No. 71; final energy = -1.19 eV per atom
1.0
5.1385 0.0000 0.0000
0.0000 9.8124 0.0000
0.0000 0.0000 12.1501
Rb Na Cd
2 10 4
direct
0.0000 0.0000 0.0000
0.5000 0.5000 0.5000
0.0000 0.1823 0.3382
0.0000 0.1823 0.6618
0.0000 0.5000 0.0000
0.0000 0.8177 0.3382
0.0000 0.8177 0.6618
0.5000 0.0000 0.5000
0.5000 0.3177 0.1618
0.5000 0.3177 0.8382
0.5000 0.6823 0.1618
0.5000 0.6823 0.8382
0.0000 0.5000 0.2623
0.0000 0.5000 0.7377
0.5000 0.0000 0.2377
0.5000 0.0000 0.7623

=====

No. 5
Pr6P2Se3N (PBE, relaxed); crystal system = monoclinic; space group = C2/m, No. 12; formation energy without anion corrections = -161 kJ/mol of atoms; final energy = -6.52 eV per atom
1.0
3.5637 -6.1570 0.0000
3.5637 6.1570 0.0000
-2.3806 0.0000 6.9511
Pr P Se N
6 2 3 1
direct
0.0729 0.3855 0.2186
0.2390 0.2390 0.7777
0.3855 0.0729 0.2186
0.6145 0.9271 0.7814
0.7610 0.7610 0.2223
0.9271 0.6145 0.7814
0.3339 0.6661 0.0000
0.6661 0.3339 0.0000
0.1725 0.8275 0.5000
0.5000 0.5000 0.5000
0.8275 0.1725 0.5000
0.0000 0.0000 0.0000

=====

No. 6
RbGe2P (PBE, relaxed); crystal system = tetragonal; space group = I4_1/amd, No. 141; final energy = -3.78 eV per atom
1.0
5.2082 0.0000 0.0000
0.0000 5.2082 0.0000
0.0000 0.0000 17.5647
Rb Ge P
4 8 4
direct
0.0000 0.2500 0.3750
0.0000 0.7500 0.6250
0.5000 0.2500 0.1250
0.5000 0.7500 0.8750
0.0000 0.0000 0.0000
0.0000 0.5000 0.0000
0.2500 0.2500 0.7500
0.2500 0.7500 0.2500
0.5000 0.0000 0.5000
0.5000 0.5000 0.5000
0.7500 0.2500 0.7500
0.7500 0.7500 0.2500
0.0000 0.2500 0.8750
0.0000 0.7500 0.1250
0.5000 0.2500 0.6250
0.5000 0.7500 0.3750